This record from Alexandria via LeMat-Bulk describes a geometry-optimized NaCd3Pt structure. The functional is GGA-PBE.

Calculated values
* volume: 444.65 Å³/cell
* ΔH_f (0 K): -0.21 eV/atom
* mass density: 8.30 g/cm³
* magnetization: 0.000 μB per formula unit
* excess energy over the best structure of this formula in the dataset: 0 meV per atom
* density of states at the Fermi level: 0.319 states/eV per atom
* space-group type: Pnma

a b c (Å): 5.057 8.417 10.447
angles (deg): 90.00 90.00 90.00
Element x y z (fractional)
Na (0.344, 0.363, 0.750)
Na (0.156, 0.863, 0.250)
Na (0.656, 0.637, 0.250)
Na (0.844, 0.137, 0.750)
Cd (0.514, 0.336, 0.036)
Cd (0.986, 0.836, 0.536)
Cd (0.986, 0.836, 0.964)
Cd (0.486, 0.664, 0.536)
Cd (0.486, 0.664, 0.964)
Cd (0.014, 0.164, 0.464)
Cd (0.014, 0.164, 0.036)
Cd (0.514, 0.336, 0.464)
Cd (0.391, 0.913, 0.750)
Cd (0.109, 0.413, 0.250)
Cd (0.609, 0.087, 0.250)
Cd (0.891, 0.587, 0.750)
Pt (0.000, 0.500, 0.000)
Pt (0.500, 0.000, 0.500)
Pt (0.500, 0.000, 0.000)
Pt (0.000, 0.500, 0.500)